# 1
Computed, not measured: Rb4U3MnS12 after structural relaxation at the PBE level of DFT.

Values from the calculation:
The crystal system is cubic. The formation energy from raw total energies comes out at -23.49 eV per formula unit.

abc: 10.2620 10.2620 10.2620
angles: 90.00 90.00 90.00
With the nearest neighbours (Å) after each atom.
Space group Im-3m (No. 229)
Asymmetric unit:
Rb (0.2500, 0.2500, 0.2500) [8 per cell]  12 S 3.63
U (0.0000, 0.0000, 0.5000) [6 per cell]  6 S 2.50-2.57
Mn (0.0000, 0.0000, 0.0000) [2 per cell]  6 S 2.63
S (0.0000, 0.0000, 0.2561) [12 per cell]  1 U 2.50, 1 Mn 2.63
S (0.0000, 0.2500, 0.5000) [12 per cell]  2 U 2.57

=====

# 2
Computed, not measured: NaFeSn2Cl after structural relaxation at the PBE level of DFT.

Values from the calculation:
The crystal system is tetragonal. The formation energy from raw total energies comes out at -0.41 eV per formula unit.

abc: 4.8106 4.8106 5.7478
angles: 90.00 90.00 90.00
With the nearest neighbours (Å) after each atom.
Space group P4/mmm (No. 123)
Asymmetric unit:
Na (0.0000, 0.0000, 0.0000) [1 per cell]  2 Fe 2.87
Fe (0.0000, 0.0000, 0.5000) [1 per cell]  4 Sn 2.41
Sn (0.0000, 0.5000, 0.5000) [2 per cell]  2 Fe 2.41
Cl (0.5000, 0.5000, 0.0000) [1 per cell]  4 Na 3.40, 8 Sn 3.75

=====

# 3
Computed, not measured: Fe2Co2Cl after structural relaxation at the PBE level of DFT.

Values from the calculation:
The crystal system is tetragonal. The formation energy from raw total energies comes out at 2.49 eV per formula unit.

abc: 3.4970 3.4970 12.8518
angles: 90.00 90.00 90.00
With the nearest neighbours (Å) after each atom.
Space group I4/mmm (No. 139)
Asymmetric unit:
Fe (0.0000, 0.5000, 0.2500) [4 per cell]  4 Co 2.35, 4 Fe 2.47
Co (0.0000, 0.0000, 0.1279) [4 per cell]  4 Fe 2.35
Cl (0.0000, 0.0000, 0.5000) [2 per cell]  8 Co 2.97

=====

# 4
Computed, not measured: BaMn5I12 after structural relaxation at the PBE level of DFT.

Values from the calculation:
The crystal system is monoclinic. The formation energy from raw total energies comes out at -11.27 eV per formula unit.

abc: 7.4598 12.9346 15.4570
angles: 90.00 90.34 90.00
With the nearest neighbours (Å) after each atom.
Space group C2/m (No. 12)
Asymmetric unit:
Ba (0.0000, 0.0000, 0.0000) [2 per cell]  6 I 3.39-3.40
Mn (0.0000, 0.1664, 0.5000) [4 per cell]  6 I 2.95-2.96
Mn (0.0000, 0.3334, 0.0000) [4 per cell]  6 I 2.92
Mn (0.0000, 0.5000, 0.5000) [2 per cell]  6 I 2.95-2.96
I (0.1138, 0.5000, 0.1152) [4 per cell]  2 Mn 2.92
I (0.1648, 0.0000, 0.3968) [4 per cell]  3 Mn 2.95-2.96
I (0.1659, 0.3334, 0.3974) [8 per cell]  3 Mn 2.95-2.96
I (0.1949, 0.1937, 0.1151) [8 per cell]  2 Mn 2.92

=====

The highest formation energy from raw total energies belongs to which entry?
Fe2Co2Cl

=====

The highest formation energy from raw total energies belongs to which entry?
Fe2Co2Cl